(1)
K2YAg | meta-GGA SCAN | PBEsol geometry

Structure (CIF):
```
data_K2YAg
_cell_length_a 4.0676
_cell_length_b 4.0676
_cell_length_c 34.7769
_cell_angle_alpha 90.00
_cell_angle_beta 90.00
_cell_angle_gamma 120.00
_symmetry_space_group_name_H-M 'R 3 m'
_symmetry_Int_Tables_number 160
_symmetry_space_group_name_Hall 'R 3 -2"'
loop_
_atom_site_label
_atom_site_type_symbol
_atom_site_fract_x
_atom_site_fract_y
_atom_site_fract_z
K1 K 0.0000 0.0000 0.0000
K2 K 0.0000 0.0000 0.2155
Y1 Y 0.0000 0.0000 0.4490
Ag1 Ag 0.0000 0.0000 0.7351
```

Calculated values
**Relative energy among the computed polymorphs**: 0.000 eV/atom
**Electronic total energy**: -18.806 eV/atom
**ΔE_f**: 0.161 eV per atom

---

(2)
Be2Rh | meta-GGA SCAN | PBEsol geometry

Structure (CIF):
```
data_Be2Rh
_cell_length_a 2.813
_cell_length_b 2.813
_cell_length_c 7.370
_cell_angle_alpha 90.00
_cell_angle_beta 90.00
_cell_angle_gamma 90.00
_symmetry_space_group_name_H-M 'I 4/m m m'
_symmetry_Int_Tables_number 139
_symmetry_space_group_name_Hall '-I 4 2'
loop_
_atom_site_label
_atom_site_type_symbol
_atom_site_fract_x
_atom_site_fract_y
_atom_site_fract_z
Be1 Be 0.000 0.000 0.166
Rh1 Rh 0.000 0.000 0.500
```

Calculated values
**Electronic total energy**: -14.854 eV/atom
**ΔE_f**: -0.695 eV per atom